Entry 1:
Density functional theory data (PBE-GGA) for a geometry-optimized Mg2ZrTe structure.

density of states at the Fermi level = 3.334 states/eV/f.u.
uncorrected energy = -14.956 eV/cell

Structure (extended XYZ):
```
4
Lattice="1.890 -2.640 0.000 1.890 2.640 0.000 0.000 0.000 9.707" Properties=species:S:1:pos:R:3 pbc="T T T"
Mg 0.000 0.000 2.415
Mg 0.000 0.000 7.292
Zr 1.890 0.000 0.000
Te 1.890 0.000 4.853
```

Entry 2:
Density functional theory data (PBE-GGA) for a geometry-optimized Mg4ZrTe structure.

density of states at the Fermi level = 5.417 states/eV/f.u.
uncorrected energy = -17.318 eV/cell

Structure (extended XYZ):
```
6
Lattice="0.000 4.119 4.119 4.119 0.000 4.119 4.119 4.119 0.000" Properties=species:S:1:pos:R:3 pbc="T T T"
Mg 3.100 3.100 3.100
Mg 5.138 5.138 3.100
Mg 5.138 3.100 5.138
Mg 3.100 5.138 5.138
Zr 6.179 6.179 6.179
Te 0.000 0.000 0.000
```

Entry 3:
Density functional theory data (PBE-GGA) for a geometry-optimized Mg2ZrTe structure.

density of states at the Fermi level = 2.746 states/eV/f.u.
uncorrected energy = -29.773 eV/cell

Structure (extended XYZ):
```
8
Lattice="-4.155 4.155 2.892 4.155 -4.155 2.892 4.155 4.155 -2.892" Properties=species:S:1:pos:R:3 pbc="T T T"
Mg 2.077 1.874 -0.723
Mg 2.281 -2.077 3.615
Mg 2.077 2.281 2.169
Mg 1.874 6.232 0.723
Zr 4.155 0.000 1.446
Zr 0.000 0.000 2.892
Te 0.000 0.000 0.000
Te 0.000 4.155 1.446
```

Entry 4:
Density functional theory data (PBE-GGA) for a geometry-optimized Mg2ZrTe structure.

density of states at the Fermi level = 4.143 states/eV/f.u.
uncorrected energy = -14.826 eV/cell

Structure (extended XYZ):
```
4
Lattice="0.000 3.591 3.591 3.591 0.000 3.591 3.591 3.591 0.000" Properties=species:S:1:pos:R:3 pbc="T T T"
Mg 0.000 0.000 0.000
Mg 1.795 1.795 1.795
Zr 3.591 3.591 3.591
Te 5.386 5.386 5.386
```

Entry 5:
Density functional theory data (PBE-GGA) for a geometry-optimized Mg2ZrTe structure.

density of states at the Fermi level = 3.413 states/eV/f.u.
uncorrected energy = -15.453 eV/cell

Structure (extended XYZ):
```
4
Lattice="4.391 0.000 0.000 0.000 4.391 0.000 0.000 0.000 4.647" Properties=species:S:1:pos:R:3 pbc="T T T"
Mg 0.000 2.196 0.000
Mg 2.196 0.000 0.000
Zr 0.000 0.000 2.324
Te 2.196 2.196 2.324
```

Entry 6:
Density functional theory data (PBE-GGA) for a geometry-optimized Mg2ZrTe structure.

density of states at the Fermi level = 4.900 states/eV/f.u.
uncorrected energy = -14.912 eV/cell

Structure (extended XYZ):
```
4
Lattice="1.683 0.972 9.901 -1.683 0.972 9.901 0.000 -1.944 9.901" Properties=species:S:1:pos:R:3 pbc="T T T"
Mg 0.000 0.000 7.363
Mg 0.000 0.000 22.341
Zr 0.000 0.000 0.000
Te 0.000 0.000 14.852
```

Entry 7:
Density functional theory data (PBE-GGA) for a geometry-optimized Mg3ZrTe structure.

density of states at the Fermi level = 4.407 states/eV/f.u.
ΔE to the lowest computed polymorph = 0.294 eV per atom

Structure (extended XYZ):
```
5
Lattice="5.638 0.000 0.000 0.000 5.638 0.000 0.000 0.000 5.638" Properties=species:S:1:pos:R:3 pbc="T T T"
Mg 0.000 0.000 2.819
Mg 0.000 2.819 0.000
Mg 2.819 0.000 0.000
Zr 0.000 0.000 0.000
Te 2.819 2.819 2.819
```

Entry 8:
Density functional theory data (PBE-GGA) for a geometry-optimized Mg2ZrTe structure.

density of states at the Fermi level = 1.354 states/eV/f.u.
uncorrected energy = -15.363 eV/cell

Structure (extended XYZ):
```
4
Lattice="3.062 0.000 0.000 0.000 5.262 0.000 -0.555 0.000 5.894" Properties=species:S:1:pos:R:3 pbc="T T T"
Mg 0.000 0.000 0.000
Mg 0.028 2.631 4.454
Zr 1.718 2.631 1.459
Te 2.270 0.000 2.808
```

Entry 9:
Density functional theory data (PBE-GGA) for a geometry-optimized Mg2ZrTe structure.

density of states at the Fermi level = 3.348 states/eV/f.u.
uncorrected energy = -15.376 eV/cell

Structure (extended XYZ):
```
4
Lattice="2.908 -5.171 0.000 2.908 5.171 0.000 -1.030 0.000 3.112" Properties=species:S:1:pos:R:3 pbc="T T T"
Mg 1.454 2.585 0.000
Mg 1.454 -2.585 0.000
Zr -0.515 0.000 1.556
Te 2.392 0.000 1.556
```

Entry 10:
Density functional theory data (PBE-GGA) for a geometry-optimized Mg2Zr2Te structure.

density of states at the Fermi level = 3.297 states/eV/f.u.
ΔE to the lowest computed polymorph = 0.000 eV per atom

Structure (extended XYZ):
```
10
Lattice="7.348 0.000 0.000 0.000 7.348 0.000 0.000 0.000 4.623" Properties=species:S:1:pos:R:3 pbc="T T T"
Mg 1.072 2.602 0.000
Mg 2.602 6.276 0.000
Mg 4.746 1.072 0.000
Mg 6.276 4.746 0.000
Zr 1.097 4.771 2.311
Zr 2.576 1.097 2.311
Zr 4.771 6.250 2.311
Zr 6.250 2.576 2.311
Te 0.000 0.000 2.311
Te 3.674 3.674 2.311
```

Sequential total magnetic moment output: 0.3; 2.5; 0.0; 0.0; 0.0; 0.0; 1.9; 0.0; 0.0; 0.0 μB per formula unit